(1)
# MnSi2Os, optimized geometry, DFT PBE
# energy relative to the elements, uncorrected	-0.007	eV per atom
# total moment	0.48	μB per atom
# volume	51.9	Å³/cell
# space group	No. 71
data_MnSi2Os
_space_group_name_H-M_alt 'P 1'
_space_group_IT_number 1
_space_group_name_Hall 'P 1'
_cell_length_a 4.672
_cell_length_b 4.672
_cell_length_c 4.672
_cell_angle_alpha 142.82
_cell_angle_beta 120.96
_cell_angle_gamma 71.87
loop_
_atom_site_label
_atom_site_type_symbol
_atom_site_fract_x
_atom_site_fract_y
_atom_site_fract_z
Mn1 Mn 0.000 0.000 0.000
Si1 Si 0.240 0.740 0.500
Si2 Si 0.760 0.260 0.500
Os1 Os 0.500 0.500 0.000



(2)
# MnSi4Os2, optimized geometry, DFT PBE
# energy relative to the elements, uncorrected	0.521	eV per atom
# total moment	0.26	μB per atom
# volume	110.5	Å³/cell
# space group	No. 139
data_MnSi4Os2
_space_group_name_H-M_alt 'P 1'
_space_group_IT_number 1
_space_group_name_Hall 'P 1'
_cell_length_a 6.737
_cell_length_b 6.737
_cell_length_c 6.737
_cell_angle_alpha 142.92
_cell_angle_beta 142.92
_cell_angle_gamma 53.45
loop_
_atom_site_label
_atom_site_type_symbol
_atom_site_fract_x
_atom_site_fract_y
_atom_site_fract_z
Mn1 Mn 0.000 0.000 0.000
Si1 Si 0.000 0.500 0.500
Si2 Si 0.194 0.194 0.000
Si3 Si 0.500 0.000 0.500
Si4 Si 0.806 0.806 0.000
Os1 Os 0.387 0.387 0.000
Os2 Os 0.613 0.613 0.000



(3)
# MnSi2Os, optimized geometry, DFT PBE
# energy relative to the elements, uncorrected	0.005	eV per atom
# total moment	0.28	μB per atom
# volume	51.7	Å³/cell
# space group	No. 10
data_MnSi2Os
_space_group_name_H-M_alt 'P 1'
_space_group_IT_number 1
_space_group_name_Hall 'P 1'
_cell_length_a 2.780
_cell_length_b 3.805
_cell_length_c 4.896
_cell_angle_alpha 90.00
_cell_angle_beta 92.35
_cell_angle_gamma 90.00
loop_
_atom_site_label
_atom_site_type_symbol
_atom_site_fract_x
_atom_site_fract_y
_atom_site_fract_z
Mn1 Mn 0.000 0.000 0.000
Si1 Si 0.171 0.500 0.753
Si2 Si 0.829 0.500 0.247
Os1 Os 0.500 0.000 0.500